# K2YCl5 PBE optimized geometry
data_K2YCl5
_cell_length_a 11.859
_cell_length_b 11.014
_cell_length_c 7.670
_cell_angle_alpha 90.00
_cell_angle_beta 129.32
_cell_angle_gamma 90.00
_space_group_name_H-M_alt 'C 1 m 1'
_space_group_IT_number 8
loop_
_space_group_symop_operation_xyz
'x,y,z'
'x,-y,z'
'x+1/2,y+1/2,z'
'x+1/2,-y+1/2,z'
loop_
_atom_site_label
_atom_site_type_symbol
_atom_site_fract_x
_atom_site_fract_y
_atom_site_fract_z
K1 K 0.000 0.223 0.000
Y1 Y 0.338 0.500 0.404
Cl1 Cl 0.060 0.500 0.056
Cl2 Cl 0.074 0.000 0.827
Cl3 Cl 0.300 0.278 0.472
Cl4 Cl 0.434 0.500 0.185
# formation energy (no corrections): -2.086 eV/atom
# crystal system: monoclinic
# DOS at the Fermi energy: 0.0 states/eV/cell



# Sm6Pt2N PBE optimized geometry
data_Sm6Pt2N
_cell_length_a 6.591
_cell_length_b 7.206
_cell_length_c 11.709
_cell_angle_alpha 90.00
_cell_angle_beta 122.94
_cell_angle_gamma 90.00
_space_group_name_H-M_alt 'P 1 21/c 1'
_space_group_IT_number 14
loop_
_space_group_symop_operation_xyz
'x,y,z'
'-x,-y,-z'
'-x,y+1/2,-z+1/2'
'x,-y+1/2,z+1/2'
loop_
_atom_site_label
_atom_site_type_symbol
_atom_site_fract_x
_atom_site_fract_y
_atom_site_fract_z
Sm1 Sm 0.119 0.033 0.239
Sm2 Sm 0.233 0.693 0.059
Sm3 Sm 0.367 0.175 0.058
Pt1 Pt 0.301 0.099 0.752
N1 N 0.000 0.000 0.000
# formation energy (no corrections): -0.896 eV/atom
# crystal system: monoclinic
# DOS at the Fermi energy: 16.7 states/eV/cell



Copy entry 1 word for word.
# K2YCl5 PBE optimized geometry
data_K2YCl5
_cell_length_a 11.859
_cell_length_b 11.014
_cell_length_c 7.670
_cell_angle_alpha 90.00
_cell_angle_beta 129.32
_cell_angle_gamma 90.00
_space_group_name_H-M_alt 'C 1 m 1'
_space_group_IT_number 8
loop_
_space_group_symop_operation_xyz
'x,y,z'
'x,-y,z'
'x+1/2,y+1/2,z'
'x+1/2,-y+1/2,z'
loop_
_atom_site_label
_atom_site_type_symbol
_atom_site_fract_x
_atom_site_fract_y
_atom_site_fract_z
K1 K 0.000 0.223 0.000
Y1 Y 0.338 0.500 0.404
Cl1 Cl 0.060 0.500 0.056
Cl2 Cl 0.074 0.000 0.827
Cl3 Cl 0.300 0.278 0.472
Cl4 Cl 0.434 0.500 0.185
# formation energy (no corrections): -2.086 eV/atom
# crystal system: monoclinic
# DOS at the Fermi energy: 0.0 states/eV/cell